# Dy3SOF5 GGA-PBE relaxed
data_Dy3SOF5
_space_group_name_H-M_alt 'P 1 m 1'
_space_group_IT_number 6
_space_group_name_Hall 'P -2y'
_cell_length_a 9.389
_cell_length_b 3.671
_cell_length_c 9.448
_cell_angle_alpha 90.00
_cell_angle_beta 119.50
_cell_angle_gamma 90.00
loop_
_atom_site_label
_atom_site_type_symbol
_atom_site_fract_x
_atom_site_fract_y
_atom_site_fract_z
Dy1 Dy 0.000 0.000 0.000
Dy2 Dy 0.105 0.500 0.687
Dy3 Dy 0.283 0.000 0.450
Dy4 Dy 0.404 0.500 0.182
Dy5 Dy 0.578 0.500 0.870
Dy6 Dy 0.833 0.000 0.313
S1 S 0.027 0.500 0.246
S2 S 0.371 0.000 0.917
O1 O 0.083 0.000 0.532
O2 O 0.264 0.000 0.197
F1 F 0.132 0.500 0.959
F2 F 0.323 0.500 0.632
F3 F 0.429 0.500 0.435
F4 F 0.543 0.000 0.705
F5 F 0.588 0.000 0.311
F6 F 0.656 0.500 0.152
F7 F 0.748 0.000 0.018
F8 F 0.822 0.500 0.869
F9 F 0.845 0.500 0.467
F10 F 0.975 0.000 0.747
# DOS(E_F): 0.000 states/eV/atom
# E: -69.63 eV per formula unit
# E_form (uncorrected): -3.738 eV per atom